No. 1
A plane-wave DFT calculation with GGA-PBE was carried out for a relaxed PmThZn crystal.

The mass density comes out at 9.0 g/cm3. Its crystal system is trigonal. The spin magnetization comes out at 0.0000 μB/atom. The space group is No. 156.

Cell lengths 5.0525, 5.0525, 3.6881 Å; angles 90.00, 90.00, 120.00 degrees
Last column: nearest neighbours and their distance in Å.
Sites, in units of the cell vectors:
1 Pm 0.0000 0.0000 0.0000  3 Zn 3.08, 3 Th 3.30
2 Th 0.6667 0.3333 0.5793  3 Zn 3.13, 3 Pm 3.30
3 Zn 0.3333 0.6667 0.2721  3 Pm 3.08, 3 Th 3.13


No. 2
A plane-wave DFT calculation with GGA-PBE was carried out for a relaxed PmThZn2 crystal.

The mass density comes out at 8.6 g/cm3. Its crystal system is tetragonal. The spin magnetization comes out at 0.0002 μB/atom. The space group is No. 123.

Cell lengths 3.6558, 3.6558, 7.3433 Å; angles 90.00, 90.00, 90.00 degrees
Last column: nearest neighbours and their distance in Å.
Sites, in units of the cell vectors:
1 Pm 0.0000 0.0000 0.0000  8 Zn 3.15
2 Th 0.0000 0.0000 0.5000  8 Zn 3.19
3 Zn 0.5000 0.5000 0.2458  4 Pm 3.15, 4 Th 3.19
4 Zn 0.5000 0.5000 0.7542  4 Pm 3.15, 4 Th 3.19


No. 3
A plane-wave DFT calculation with GGA-PBE was carried out for a relaxed Pm2ThZn crystal.

The mass density comes out at 8.5 g/cm3. Its crystal system is tetragonal. The spin magnetization comes out at 0.0000 μB/atom. The space group is No. 123.

Cell lengths 3.6259, 3.6259, 8.7125 Å; angles 90.00, 90.00, 90.00 degrees
Last column: nearest neighbours and their distance in Å.
Sites, in units of the cell vectors:
1 Pm 0.0000 0.0000 0.2157  4 Zn 3.18
2 Pm 0.0000 0.0000 0.7843  4 Zn 3.18
3 Th 0.5000 0.5000 0.5000  8 Pm 3.57, 4 Th 3.63
4 Zn 0.5000 0.5000 0.0000  8 Pm 3.18


No. 4
A plane-wave DFT calculation with GGA-PBE was carried out for a relaxed Pm12Th5Zn3 crystal.

The mass density comes out at 7.1 g/cm3. Its crystal system is cubic. The spin magnetization comes out at 0.0000 μB/atom. The space group is No. 230.

Cell lengths 15.5517, 15.5517, 15.5517 Å; angles 109.47, 109.47, 109.47 degrees
Last column: nearest neighbours and their distance in Å.
Sites, in units of the cell vectors:
1 Pm 0.0713 0.6462 0.4073  1 Pm 3.02, 2 Zn 3.04-3.31, 2 Th 3.08-3.17
2 Pm 0.0713 0.9251 0.6640  1 Pm 3.02, 2 Zn 3.04-3.31, 2 Th 3.08-3.17
3 Pm 0.0749 0.2389 0.1462  1 Pm 3.02, 2 Zn 3.04-3.31, 2 Th 3.08-3.17
4 Pm 0.0749 0.3360 0.9287  1 Pm 3.02, 2 Zn 3.04-3.31, 2 Th 3.08-3.17
5 Pm 0.0927 0.7389 0.6640  1 Pm 3.02, 2 Zn 3.04-3.31, 2 Th 3.08-3.17
6 Pm 0.0927 0.8538 0.4287  1 Pm 3.02, 2 Zn 3.04-3.31, 2 Th 3.08-3.17
7 Pm 0.1462 0.0749 0.2389  1 Pm 3.02, 2 Zn 3.04-3.31, 2 Th 3.08-3.17
8 Pm 0.1462 0.5713 0.9073  1 Pm 3.02, 2 Zn 3.04-3.31, 2 Th 3.08-3.17
9 Pm 0.1640 0.2389 0.5927  1 Pm 3.02, 2 Zn 3.04-3.31, 2 Th 3.08-3.17
10 Pm 0.1640 0.4251 0.5713  1 Pm 3.02, 2 Zn 3.04-3.31, 2 Th 3.08-3.17
11 Pm 0.2389 0.1462 0.0749  1 Pm 3.02, 2 Zn 3.04-3.31, 2 Th 3.08-3.17
12 Pm 0.2389 0.5927 0.1640  1 Pm 3.02, 2 Zn 3.04-3.31, 2 Th 3.08-3.17
13 Pm 0.2611 0.3360 0.9073  1 Pm 3.02, 2 Zn 3.04-3.31, 2 Th 3.08-3.17
14 Pm 0.2611 0.4251 0.3538  1 Pm 3.02, 2 Zn 3.04-3.31, 2 Th 3.08-3.17
15 Pm 0.3360 0.9073 0.2611  1 Pm 3.02, 2 Zn 3.04-3.31, 2 Th 3.08-3.17
16 Pm 0.3360 0.9287 0.0749  1 Pm 3.02, 2 Zn 3.04-3.31, 2 Th 3.08-3.17
17 Pm 0.3538 0.2611 0.4251  1 Pm 3.02, 2 Zn 3.04-3.31, 2 Th 3.08-3.17
18 Pm 0.3538 0.5927 0.9287  1 Pm 3.02, 2 Zn 3.04-3.31, 2 Th 3.08-3.17
19 Pm 0.4073 0.0713 0.6462  1 Pm 3.02, 2 Zn 3.04-3.31, 2 Th 3.08-3.17
20 Pm 0.4073 0.8360 0.7611  1 Pm 3.02, 2 Zn 3.04-3.31, 2 Th 3.08-3.17
21 Pm 0.4251 0.3538 0.2611  1 Pm 3.02, 2 Zn 3.04-3.31, 2 Th 3.08-3.17
22 Pm 0.4251 0.5713 0.1640  1 Pm 3.02, 2 Zn 3.04-3.31, 2 Th 3.08-3.17
23 Pm 0.4287 0.0927 0.8538  1 Pm 3.02, 2 Zn 3.04-3.31, 2 Th 3.08-3.17
24 Pm 0.4287 0.8360 0.5749  1 Pm 3.02, 2 Zn 3.04-3.31, 2 Th 3.08-3.17
25 Pm 0.5713 0.1640 0.4251  1 Pm 3.02, 2 Zn 3.04-3.31, 2 Th 3.08-3.17
26 Pm 0.5713 0.9073 0.1462  1 Pm 3.02, 2 Zn 3.04-3.31, 2 Th 3.08-3.17
27 Pm 0.5749 0.4287 0.8360  1 Pm 3.02, 2 Zn 3.04-3.31, 2 Th 3.08-3.17
28 Pm 0.5749 0.6462 0.7389  1 Pm 3.02, 2 Zn 3.04-3.31, 2 Th 3.08-3.17
29 Pm 0.5927 0.1640 0.2389  1 Pm 3.02, 2 Zn 3.04-3.31, 2 Th 3.08-3.17
30 Pm 0.5927 0.9287 0.3538  1 Pm 3.02, 2 Zn 3.04-3.31, 2 Th 3.08-3.17
31 Pm 0.6462 0.4073 0.0713  1 Pm 3.02, 2 Zn 3.04-3.31, 2 Th 3.08-3.17
32 Pm 0.6462 0.7389 0.5749  1 Pm 3.02, 2 Zn 3.04-3.31, 2 Th 3.08-3.17
33 Pm 0.6640 0.0713 0.9251  1 Pm 3.02, 2 Zn 3.04-3.31, 2 Th 3.08-3.17
34 Pm 0.6640 0.0927 0.7389  1 Pm 3.02, 2 Zn 3.04-3.31, 2 Th 3.08-3.17
35 Pm 0.7389 0.5749 0.6462  1 Pm 3.02, 2 Zn 3.04-3.31, 2 Th 3.08-3.17
36 Pm 0.7389 0.6640 0.0927  1 Pm 3.02, 2 Zn 3.04-3.31, 2 Th 3.08-3.17
37 Pm 0.7611 0.4073 0.8360  1 Pm 3.02, 2 Zn 3.04-3.31, 2 Th 3.08-3.17
38 Pm 0.7611 0.8538 0.9251  1 Pm 3.02, 2 Zn 3.04-3.31, 2 Th 3.08-3.17
39 Pm 0.8360 0.5749 0.4287  1 Pm 3.02, 2 Zn 3.04-3.31, 2 Th 3.08-3.17
40 Pm 0.8360 0.7611 0.4073  1 Pm 3.02, 2 Zn 3.04-3.31, 2 Th 3.08-3.17
41 Pm 0.8538 0.4287 0.0927  1 Pm 3.02, 2 Zn 3.04-3.31, 2 Th 3.08-3.17
42 Pm 0.8538 0.9251 0.7611  1 Pm 3.02, 2 Zn 3.04-3.31, 2 Th 3.08-3.17
43 Pm 0.9073 0.1462 0.5713  1 Pm 3.02, 2 Zn 3.04-3.31, 2 Th 3.08-3.17
44 Pm 0.9073 0.2611 0.3360  1 Pm 3.02, 2 Zn 3.04-3.31, 2 Th 3.08-3.17
45 Pm 0.9251 0.6640 0.0713  1 Pm 3.02, 2 Zn 3.04-3.31, 2 Th 3.08-3.17
46 Pm 0.9251 0.7611 0.8538  1 Pm 3.02, 2 Zn 3.04-3.31, 2 Th 3.08-3.17
47 Pm 0.9287 0.0749 0.3360  1 Pm 3.02, 2 Zn 3.04-3.31, 2 Th 3.08-3.17
48 Pm 0.9287 0.3538 0.5927  1 Pm 3.02, 2 Zn 3.04-3.31, 2 Th 3.08-3.17
49 Th 0.0000 0.0000 0.0000  6 Pm 3.17
50 Th 0.0000 0.0000 0.5000  6 Pm 3.17
51 Th 0.0000 0.5000 0.0000  6 Pm 3.17
52 Th 0.0000 0.5000 0.5000  6 Pm 3.17
53 Th 0.1250 0.7500 0.8750  4 Pm 3.08
54 Th 0.1250 0.8750 0.2500  4 Pm 3.08
55 Th 0.2500 0.1250 0.8750  4 Pm 3.08
56 Th 0.2500 0.6250 0.3750  4 Pm 3.08
57 Th 0.3750 0.2500 0.6250  4 Pm 3.08
58 Th 0.3750 0.6250 0.7500  4 Pm 3.08
59 Th 0.5000 0.0000 0.0000  6 Pm 3.17
60 Th 0.5000 0.0000 0.5000  6 Pm 3.17
61 Th 0.5000 0.5000 0.0000  6 Pm 3.17
62 Th 0.5000 0.5000 0.5000  6 Pm 3.17
63 Th 0.6250 0.3750 0.2500  4 Pm 3.08
64 Th 0.6250 0.7500 0.3750  4 Pm 3.08
65 Th 0.7500 0.3750 0.6250  4 Pm 3.08
66 Th 0.7500 0.8750 0.1250  4 Pm 3.08
67 Th 0.8750 0.1250 0.7500  4 Pm 3.08
68 Th 0.8750 0.2500 0.1250  4 Pm 3.08
69 Zn 0.1250 0.2500 0.3750  8 Pm 3.04-3.31
70 Zn 0.1250 0.3750 0.7500  8 Pm 3.04-3.31
71 Zn 0.2500 0.3750 0.1250  8 Pm 3.04-3.31
72 Zn 0.2500 0.8750 0.6250  8 Pm 3.04-3.31
73 Zn 0.3750 0.1250 0.2500  8 Pm 3.04-3.31
74 Zn 0.3750 0.7500 0.1250  8 Pm 3.04-3.31
75 Zn 0.6250 0.2500 0.8750  8 Pm 3.04-3.31
76 Zn 0.6250 0.8750 0.7500  8 Pm 3.04-3.31
77 Zn 0.7500 0.1250 0.3750  8 Pm 3.04-3.31
78 Zn 0.7500 0.6250 0.8750  8 Pm 3.04-3.31
79 Zn 0.8750 0.6250 0.2500  8 Pm 3.04-3.31
80 Zn 0.8750 0.7500 0.6250  8 Pm 3.04-3.31


No. 5
A plane-wave DFT calculation with GGA-PBE was carried out for a relaxed PmTh4Zn5 crystal.

The mass density comes out at 9.4 g/cm3. Its crystal system is tetragonal. The spin magnetization comes out at 0.0000 μB/atom. The space group is No. 123.

Cell lengths 3.6662, 3.6662, 18.3148 Å; angles 90.00, 90.00, 90.00 degrees
Last column: nearest neighbours and their distance in Å.
Sites, in units of the cell vectors:
1 Pm 0.0000 0.0000 0.0000  8 Zn 3.15
2 Th 0.0000 0.0000 0.2000  8 Zn 3.17-3.20
3 Th 0.0000 0.0000 0.4000  8 Zn 3.17-3.18
4 Th 0.0000 0.0000 0.6000  8 Zn 3.17-3.18
5 Th 0.0000 0.0000 0.8000  8 Zn 3.17-3.20
6 Zn 0.5000 0.5000 0.0974  4 Pm 3.15, 4 Th 3.20
7 Zn 0.5000 0.5000 0.2998  8 Th 3.17-3.18
8 Zn 0.5000 0.5000 0.5000  8 Th 3.17
9 Zn 0.5000 0.5000 0.7002  8 Th 3.17-3.18
10 Zn 0.5000 0.5000 0.9026  4 Pm 3.15, 4 Th 3.20


No. 6
A plane-wave DFT calculation with GGA-PBE was carried out for a relaxed PmThZn2 crystal.

The mass density comes out at 8.6 g/cm3. Its crystal system is orthorhombic. The spin magnetization comes out at 0.0000 μB/atom. The space group is No. 51.

Cell lengths 5.1730, 3.6537, 10.3796 Å; angles 90.00, 90.00, 90.00 degrees
Last column: nearest neighbours and their distance in Å.
Sites, in units of the cell vectors:
1 Pm 0.2500 0.0000 0.1230  8 Zn 3.13-3.18
2 Pm 0.7500 0.0000 0.8770  8 Zn 3.13-3.18
3 Th 0.2500 0.0000 0.6214  8 Zn 3.17-3.20
4 Th 0.7500 0.0000 0.3786  8 Zn 3.17-3.20
5 Zn 0.2500 0.5000 0.3678  2 Pm 3.13, 6 Th 3.17-3.20
6 Zn 0.2500 0.5000 0.8727  6 Pm 3.17-3.18, 2 Th 3.18
7 Zn 0.7500 0.5000 0.1273  6 Pm 3.17-3.18, 2 Th 3.18
8 Zn 0.7500 0.5000 0.6322  2 Pm 3.13, 6 Th 3.17-3.20


No. 7
A plane-wave DFT calculation with GGA-PBE was carried out for a relaxed Pm2ThZn crystal.

The mass density comes out at 8.1 g/cm3. Its crystal system is monoclinic. The spin magnetization comes out at 0.0000 μB/atom. The space group is No. 8.

Cell lengths 3.6213, 3.6213, 10.7799 Å; angles 99.74, 99.74, 59.97 degrees
Last column: nearest neighbours and their distance in Å.
Sites, in units of the cell vectors:
1 Pm 0.0000 0.0000 0.0000  3 Zn 3.11
2 Pm 0.1878 0.1878 0.5630  3 Zn 3.12
3 Th 0.7608 0.7608 0.2803  6 Th 3.62, 6 Pm 3.63-3.65
4 Zn 0.5940 0.5940 0.7824  6 Pm 3.11-3.12


No. 8
A plane-wave DFT calculation with GGA-PBE was carried out for a relaxed Pm2Th2Zn crystal.

The mass density comes out at 9.3 g/cm3. Its crystal system is tetragonal. The spin magnetization comes out at 0.0000 μB/atom. The space group is No. 139.

Cell lengths 11.4900, 11.4900, 11.4900 Å; angles 161.86, 161.86, 25.76 degrees
Last column: nearest neighbours and their distance in Å.
Sites, in units of the cell vectors:
1 Pm 0.0837 0.0837 0.0000  4 Zn 3.17
2 Pm 0.9163 0.9163 0.0000  4 Zn 3.17
3 Th 0.3037 0.3037 0.0000  8 Th 3.51-3.62, 4 Pm 3.60
4 Th 0.6963 0.6963 0.0000  8 Th 3.51-3.62, 4 Pm 3.60
5 Zn 0.5000 0.5000 0.0000  8 Pm 3.17


No. 9
A plane-wave DFT calculation with GGA-PBE was carried out for a relaxed PmThZn2 crystal.

The mass density comes out at 8.0 g/cm3. Its crystal system is trigonal. The spin magnetization comes out at 0.0000 μB/atom. The space group is No. 166.

Cell lengths 9.4788, 9.4788, 9.4788 Å; angles 22.13, 22.13, 22.13 degrees
Last column: nearest neighbours and their distance in Å.
Sites, in units of the cell vectors:
1 Pm 0.0000 0.0000 0.0000  6 Zn 3.10
2 Th 0.5000 0.5000 0.5000  6 Zn 3.15
3 Zn 0.2513 0.2513 0.2513  3 Pm 3.10, 3 Th 3.15
4 Zn 0.7487 0.7487 0.7487  3 Pm 3.10, 3 Th 3.15


No. 10
A plane-wave DFT calculation with GGA-PBE was carried out for a relaxed PmThZn4 crystal.

The mass density comes out at 7.9 g/cm3. Its crystal system is tetragonal. The spin magnetization comes out at 0.0000 μB/atom. The space group is No. 119.

Cell lengths 8.1710, 8.1710, 8.1710 Å; angles 150.22, 150.22, 42.62 degrees
Last column: nearest neighbours and their distance in Å.
Sites, in units of the cell vectors:
1 Pm 0.0000 0.0000 0.0000  12 Zn 3.22-3.30
2 Th 0.7500 0.2500 0.5000  12 Zn 3.22-3.31
3 Zn 0.1675 0.6675 0.5000  3 Zn 2.47-2.51
4 Zn 0.3325 0.8325 0.5000  3 Zn 2.47-2.51
5 Zn 0.4179 0.4179 0.0000  3 Zn 2.47-2.50
6 Zn 0.5821 0.5821 0.0000  3 Zn 2.47-2.50


No. 11
A plane-wave DFT calculation with GGA-PBE was carried out for a relaxed PmTh2Zn9 crystal.

The mass density comes out at 8.6 g/cm3. Its crystal system is trigonal. The spin magnetization comes out at 0.0000 μB/atom. The space group is No. 166.

Cell lengths 9.3549, 9.3549, 9.3549 Å; angles 34.25, 34.25, 34.25 degrees
Last column: nearest neighbours and their distance in Å.
Sites, in units of the cell vectors:
1 Pm 0.0000 0.0000 0.0000  18 Zn 3.18-3.48
2 Th 0.1446 0.1446 0.1446  12 Zn 3.23-3.26, 3 Th 3.39
3 Th 0.8554 0.8554 0.8554  12 Zn 3.23-3.26, 3 Th 3.39
4 Zn 0.0746 0.5834 0.5834  7 Zn 2.63-2.80
5 Zn 0.3353 0.3353 0.3353  6 Zn 2.63-2.68
6 Zn 0.4166 0.4166 0.9254  7 Zn 2.63-2.80
7 Zn 0.4166 0.9254 0.4166  7 Zn 2.63-2.80
8 Zn 0.5000 0.5000 0.5000  6 Zn 2.79
9 Zn 0.5834 0.0746 0.5834  7 Zn 2.63-2.80
10 Zn 0.5834 0.5834 0.0746  7 Zn 2.63-2.80
11 Zn 0.6647 0.6647 0.6647  6 Zn 2.63-2.68
12 Zn 0.9254 0.4166 0.4166  7 Zn 2.63-2.80


No. 12
A plane-wave DFT calculation with GGA-PBE was carried out for a relaxed Pm5ThZn6 crystal.

The mass density comes out at 7.6 g/cm3. Its crystal system is orthorhombic. The spin magnetization comes out at 0.0000 μB/atom. The space group is No. 71.

Cell lengths 8.9730, 8.9730, 8.9730 Å; angles 146.46, 131.95, 59.86 degrees
Last column: nearest neighbours and their distance in Å.
Sites, in units of the cell vectors:
1 Pm 0.0000 0.0000 0.0000  8 Zn 3.17
2 Pm 0.1664 0.6664 0.5000  8 Zn 3.17
3 Pm 0.3338 0.3338 0.0000  8 Zn 3.17-3.18
4 Pm 0.6662 0.6662 0.0000  8 Zn 3.17-3.18
5 Pm 0.8336 0.3336 0.5000  8 Zn 3.17
6 Th 0.5000 0.0000 0.5000  8 Zn 3.17
7 Zn 0.0835 0.8333 0.2502  7 Pm 3.17-3.18, 1 Th 3.17
8 Zn 0.2494 0.5000 0.7494  6 Pm 3.17, 2 Th 3.17
9 Zn 0.4169 0.1667 0.2502  7 Pm 3.17-3.18, 1 Th 3.17
10 Zn 0.5831 0.8333 0.7498  7 Pm 3.17-3.18, 1 Th 3.17
11 Zn 0.7506 0.5000 0.2506  6 Pm 3.17, 2 Th 3.17
12 Zn 0.9165 0.1667 0.7498  7 Pm 3.17-3.18, 1 Th 3.17


| no. | DOS(E_F) (states/eV per atom) | energy of formation from the pure elements (eV/atom) |
| --- | --- | --- |
| 1 | 0.8683 | 0.06 |
| 2 | 1.0093 | -0.24 |
| 3 | 1.1240 | -0.14 |
| 4 | 1.6443 | 0.90 |
| 5 | 0.6176 | -0.20 |
| 6 | 1.0908 | -0.24 |
| 7 | 1.5298 | 0.00 |
| 8 | 1.2628 | -0.12 |
| 9 | 0.9759 | -0.04 |
| 10 | 1.4521 | -0.25 |
| 11 | 0.5021 | -0.26 |
| 12 | 1.1417 | -0.29 |